No. 1
{
  "formula": "Cs2PaBr5O",
  "functional": "GGA-PBE",
  "state": "relaxed",
  "cell": [[7.940, -0.006, -0.008], [-3.775, 6.985, 0.008], [-3.775, -2.480, 6.530]],
  "species": ["Br", "Br", "Br", "Br", "Br", "Cs", "Cs", "O", "Pa"],
  "frac_coords": [[0.507, 0.748, 0.748], [0.000, 0.748, 0.241], [0.493, 0.241, 0.241], [0.000, 0.239, 0.239], [0.000, 0.241, 0.748], [0.500, 0.743, 0.243], [0.500, 0.243, 0.743], [0.000, 0.814, 0.814], [0.000, 0.983, 0.983]],
  "m_tot_mub_per_cell": 0.0
}

No. 2
{
  "formula": "Cs3Pa2Br2O5",
  "functional": "GGA-PBE",
  "state": "relaxed",
  "cell": [[4.547, 0.000, 0.000], [0.000, 4.547, 0.000], [-2.273, -2.273, 13.972]],
  "species": ["O", "O", "O", "O", "O", "Pa", "Pa", "Cs", "Cs", "Cs", "Br", "Br"],
  "frac_coords": [[0.582, 0.082, 0.164], [0.082, 0.582, 0.164], [0.500, 0.500, 0.000], [0.418, 0.918, 0.836], [0.918, 0.418, 0.836], [0.422, 0.422, 0.843], [0.578, 0.578, 0.157], [0.166, 0.166, 0.333], [0.000, 0.000, 0.000], [0.834, 0.834, 0.667], [0.693, 0.693, 0.385], [0.307, 0.307, 0.615]],
  "m_tot_mub_per_cell": 1.0
}

Number 1: D(E_F) 0.00 states/eV per cell, raw formation energy -1.957 eV/atom. Number 2: D(E_F) 6.77 states/eV per cell, raw formation energy -2.552 eV/atom.